1.
Material: SnBiSb2Au4
Method: DFT, PBE
State: optimized geometry

Cell: 7.0852 5.8288 7.0747 Å, 65.79 48.62 65.60°
Fractional coordinates of all 8 atoms:
Sn1 0.0000 0.0000 0.0000
Bi1 0.5028 0.5028 0.4972
Sb1 0.2520 0.2520 0.2480
Sb2 0.7520 0.7520 0.7480
Au1 0.0029 0.5002 0.9971
Au2 0.2444 0.7595 0.2405
Au3 0.5002 0.0029 0.4998
Au4 0.7595 0.2444 0.7556

SG: Fmm2, No. 42
Energy relative to the elements, uncorrected (meV/atom): -64

---

2.
Material: Ca2ZrZn
Method: DFT, PBE
State: optimized geometry

Cell: 6.4785 6.4785 6.4785 Å, 147.73 132.04 58.99°
Fractional coordinates of all 4 atoms:
Ca1 0.2105 0.2105 0.0000
Ca2 0.7895 0.7895 0.0000
Zr1 0.5000 0.0000 0.5000
Zn1 0.0000 0.5000 0.5000

SG: Immm, No. 71
Formation enthalpy at 0 K (meV per atom): 218

---

3.
Material: Zr2ZnCl
Method: DFT, PBE
State: optimized geometry

Cell: 3.1929 5.2348 4.7033 Å, 90.00 94.91 90.00°
Fractional coordinates of all 4 atoms:
Zr1 0.0000 0.0000 0.0000
Zr2 0.3501 0.5000 0.5536
Zn1 0.7944 0.5000 0.0636
Cl1 0.3823 0.0000 0.5413

Energy above the most stable polymorph in this dataset (meV per atom): 94
SG: Pm, No. 6
Energy relative to the elements, uncorrected (meV/atom): -385

---

Number 1: magnetic moment 0.000 μB per atom, calculated volume 195.6 Å³/f.u.. Number 2: magnetic moment 0.362 μB per atom, calculated volume 106.9 Å³/f.u.. Number 3: magnetic moment 0.000 μB per atom, calculated volume 78.3 Å³/f.u..